Entry A
A plane-wave DFT calculation with PBE-GGA was carried out for a relaxed LiPdF crystal.

It has space group Pnma (No. 62), with a = 5.824 Å, b = 5.000 Å, c = 5.467 Å, α = 90.00°, β = 90.00° and γ = 90.00°. Symmetry generates all atoms from Li at (0.176, 0.250, 0.171), Pd at (0.016, 0.250, 0.648) and F at (0.000, 0.000, 0.000).

The calculation puts the density of states at the Fermi level at 5.4 states/eV/cell.

Entry B
A plane-wave DFT calculation with PBE-GGA was carried out for a relaxed LiPdF crystal.

It has space group P6_3/mmc (No. 194), with a = 2.9584 Å, b = 2.9584 Å, c = 10.8404 Å, α = 90.00°, β = 90.00° and γ = 120.00°. Symmetry generates all atoms from Li at (0.3333, 0.6667, 0.2500), Pd at (0.0000, 0.0000, 0.0000) and F at (0.0000, 0.0000, 0.2500).

The calculation puts the density of states at the Fermi level at 5.2 states/eV/cell.

Entry C
A plane-wave DFT calculation with PBE-GGA was carried out for a relaxed LiPdF crystal.

It has space group P-6m2 (No. 187), with a = 4.0304 Å, b = 4.0304 Å, c = 2.8700 Å, α = 90.00°, β = 90.00° and γ = 120.00°. Symmetry generates all atoms from Li at (0.0000, 0.0000, 0.0000), Pd at (0.6667, 0.3333, 0.5000) and F at (0.3333, 0.6667, 0.5000).

The calculation puts the density of states at the Fermi level at 1.8 states/eV/cell.

Entry D
A plane-wave DFT calculation with PBE-GGA was carried out for a relaxed LiPdF crystal.

It has space group P4/nmm (No. 129, origin choice 2), with a = 2.728 Å, b = 2.728 Å, c = 9.894 Å, α = 90.00°, β = 90.00° and γ = 90.00°. Symmetry generates all atoms from Li at (0.250, 0.250, 0.106), Pd at (0.250, 0.250, 0.601) and F at (0.250, 0.250, 0.892).

The calculation puts the density of states at the Fermi level at 4.6 states/eV/cell.

According to the calculations, the structures order from most to least stable as entry D, entry B, entry A, entry C.

Entry A
A plane-wave DFT calculation with PBE-GGA was carried out for a relaxed LiPdF2 crystal.

It has space group Fm-3m (No. 225), with a = 5.719 Å, b = 5.719 Å, c = 5.719 Å, α = 90.00°, β = 90.00° and γ = 90.00°. Symmetry generates all atoms from Li at (0.000, 0.000, 0.000), Pd at (0.000, 0.000, 0.500) and F at (0.250, 0.250, 0.250).

The calculation puts the density of states at the Fermi level at 20.5 states/eV/cell.

Entry B
A plane-wave DFT calculation with PBE-GGA was carried out for a relaxed LiPdF2 crystal.

It has space group I-42d (No. 122), with a = 5.164 Å, b = 5.164 Å, c = 7.908 Å, α = 90.00°, β = 90.00° and γ = 90.00°. Symmetry generates all atoms from Li at (0.000, 0.000, 0.000), Pd at (0.000, 0.000, 0.500) and F at (0.178, 0.250, 0.125).

The calculation puts the density of states at the Fermi level at 7.9 states/eV/cell.

According to the calculations, the structures order from most to least stable as entry B, entry A.

Entry A
A plane-wave DFT calculation with PBE-GGA was carried out for a relaxed LiPdF2 crystal.

It has space group R-3m (No. 166, hexagonal axes), with a = 2.8898 Å, b = 2.8898 Å, c = 18.6614 Å, α = 90.00°, β = 90.00° and γ = 120.00°. Symmetry generates all atoms from Li at (0.0000, 0.0000, 0.0000), Pd at (0.0000, 0.0000, 0.5000) and F at (0.0000, 0.0000, 0.3920).

The calculation puts the density of states at the Fermi level at 2.1 states/eV/cell.

Entry B
A plane-wave DFT calculation with PBE-GGA was carried out for a relaxed LiPdF2 crystal.

It has space group R-3m (No. 166, hexagonal axes), with a = 3.1298 Å, b = 3.1298 Å, c = 20.4798 Å, α = 90.00°, β = 90.00° and γ = 120.00°. Symmetry generates all atoms from Li at (0.0000, 0.0000, 0.0000), Pd at (0.0000, 0.0000, 0.5000) and F at (0.0000, 0.0000, 0.0831).

The calculation puts the density of states at the Fermi level at 17.9 states/eV/cell.

According to the calculations, the structures order from most to least stable as entry A, entry B.